Entry one
This record from the Alexandria database describes an optimized crystal structure of TbPr7Ho3. The functional is PBE-GGA.

Lattice parameters (Å, degrees): 8.6292 8.6292 5.9543 110.16 110.16 83.52
With the nearest neighbours (Å) after each atom.
Fractional coordinates of all 11 atoms:
Tb  0.0000  0.0000  0.0000  4 Pr 2.98-3.33
Pr  0.0000  0.0000  0.5000  2 Tb 2.98
Pr  0.0973  0.5181  0.8079  2 Ho 3.27-3.65, 3 Pr 3.38-3.52
Pr  0.2914  0.2914  0.2925  1 Tb 3.33, 2 Ho 3.35, 2 Pr 3.52
Pr  0.4819  0.9027  0.1921  2 Ho 3.27-3.65, 3 Pr 3.38-3.52
Pr  0.5181  0.0973  0.8079  2 Ho 3.27-3.65, 3 Pr 3.38-3.52
Pr  0.7086  0.7086  0.7075  1 Tb 3.33, 2 Ho 3.35, 2 Pr 3.52
Pr  0.9027  0.4819  0.1921  2 Ho 3.27-3.65, 3 Pr 3.38-3.52
Ho  0.2956  0.7044  0.5000  9 Pr 3.35-3.70
Ho  0.5000  0.5000  0.0000  4 Pr 3.27
Ho  0.7044  0.2956  0.5000  9 Pr 3.35-3.70

Entry two
This record from the Alexandria database describes an optimized crystal structure of TbPr7Ho3. The functional is PBE-GGA.

Lattice parameters (Å, degrees): 10.3802 10.3802 12.7057 114.81 114.81 40.78
With the nearest neighbours (Å) after each atom.
Fractional coordinates of all 22 atoms:
Tb  0.0000  0.0000  0.0000  6 Pr 3.53-3.59, 4 Ho 3.58-3.62
Tb  0.0000  0.0000  0.5000  6 Pr 3.53-3.59, 4 Ho 3.58-3.62
Pr  0.0799  0.5851  0.4722  4 Ho 3.52-3.71, 7 Pr 3.58-3.68, 1 Tb 3.59
Pr  0.0817  0.5874  0.9759  1 Tb 3.57, 6 Pr 3.58-3.72, 4 Ho 3.59-3.70
Pr  0.2134  0.7866  0.7500  2 Tb 3.53, 4 Ho 3.54-3.79, 4 Pr 3.58-3.65
Pr  0.3357  0.3468  0.2273  4 Ho 3.46-3.64, 7 Pr 3.61-3.72
Pr  0.3468  0.3357  0.7273  4 Ho 3.46-3.64, 7 Pr 3.61-3.72
Pr  0.4126  0.9183  0.5241  1 Tb 3.57, 6 Pr 3.58-3.72, 4 Ho 3.59-3.70
Pr  0.4149  0.9201  0.0278  4 Ho 3.52-3.71, 7 Pr 3.58-3.68, 1 Tb 3.59
Pr  0.5851  0.0799  0.9722  4 Ho 3.52-3.71, 7 Pr 3.58-3.68, 1 Tb 3.59
Pr  0.5874  0.0817  0.4759  1 Tb 3.57, 6 Pr 3.58-3.72, 4 Ho 3.59-3.70
Pr  0.6532  0.6643  0.2727  4 Ho 3.46-3.64, 7 Pr 3.61-3.72
Pr  0.6643  0.6532  0.7727  4 Ho 3.46-3.64, 7 Pr 3.61-3.72
Pr  0.7866  0.2134  0.2500  2 Tb 3.53, 4 Ho 3.54-3.79, 4 Pr 3.58-3.65
Pr  0.9183  0.4126  0.0241  1 Tb 3.57, 6 Pr 3.58-3.72, 4 Ho 3.59-3.70
Pr  0.9201  0.4149  0.5278  4 Ho 3.52-3.71, 7 Pr 3.58-3.68, 1 Tb 3.59
Ho  0.1673  0.1744  0.2737  10 Pr 3.52-3.71, 1 Tb 3.58
Ho  0.1744  0.1673  0.7737  10 Pr 3.52-3.71, 1 Tb 3.58
Ho  0.5000  0.5000  0.0000  8 Pr 3.46-3.79, 2 Tb 3.62
Ho  0.5000  0.5000  0.5000  8 Pr 3.46-3.79, 2 Tb 3.62
Ho  0.8256  0.8327  0.2263  10 Pr 3.52-3.71, 1 Tb 3.58
Ho  0.8327  0.8256  0.7263  10 Pr 3.52-3.71, 1 Tb 3.58

Stability check: which of them is most stable? entry two.

Entry one
This record from the Alexandria database describes an optimized crystal structure of TbPr6Ho2. The functional is PBE-GGA.

Lattice parameters (Å, degrees): 10.1185 10.1185 3.6866 90.00 90.00 124.05
With the nearest neighbours (Å) after each atom.
Fractional coordinates of all 9 atoms:
Tb  0.0000  0.0000  0.0000  4 Pr 3.53, 4 Ho 3.65, 2 Tb 3.69
Pr  0.1590  0.4902  0.0000  6 Pr 3.33-3.69, 2 Ho 3.60
Pr  0.3165  0.3165  0.5000  7 Pr 3.48-3.69, 2 Tb 3.53
Pr  0.4902  0.1590  0.0000  6 Pr 3.33-3.69, 2 Ho 3.60
Pr  0.5098  0.8410  0.0000  6 Pr 3.33-3.69, 2 Ho 3.60
Pr  0.6835  0.6835  0.5000  7 Pr 3.48-3.69, 2 Tb 3.53
Pr  0.8410  0.5098  0.0000  6 Pr 3.33-3.69, 2 Ho 3.60
Ho  0.1765  0.8235  0.5000  8 Pr 3.60-3.76, 2 Tb 3.65, 2 Ho 3.69
Ho  0.8235  0.1765  0.5000  8 Pr 3.60-3.76, 2 Tb 3.65, 2 Ho 3.69

Entry two
This record from the Alexandria database describes an optimized crystal structure of TbPr6Ho2. The functional is PBE-GGA.

Lattice parameters (Å, degrees): 10.2176 10.2176 6.2990 95.09 95.09 71.51
With the nearest neighbours (Å) after each atom.
Fractional coordinates of all 18 atoms:
Tb  0.1008  0.8992  0.7500  8 Pr 3.49-3.59
Tb  0.8992  0.1008  0.2500  8 Pr 3.49-3.59
Pr  0.0208  0.7410  0.1806  4 Pr 3.39-3.70, 2 Tb 3.49-3.56, 2 Ho 3.56-3.57
Pr  0.0754  0.3556  0.3470  4 Pr 3.38-3.70, 3 Ho 3.48-3.56, 1 Tb 3.59
Pr  0.2590  0.9792  0.3194  4 Pr 3.39-3.70, 2 Tb 3.49-3.56, 2 Ho 3.56-3.57
Pr  0.3120  0.5915  0.4861  4 Pr 3.39-3.70, 3 Ho 3.48-3.58, 1 Tb 3.57
Pr  0.3556  0.0754  0.8470  4 Pr 3.38-3.70, 3 Ho 3.48-3.56, 1 Tb 3.59
Pr  0.4085  0.6880  0.0139  4 Pr 3.39-3.70, 3 Ho 3.48-3.58, 1 Tb 3.57
Pr  0.5915  0.3120  0.9861  4 Pr 3.39-3.70, 3 Ho 3.48-3.58, 1 Tb 3.57
Pr  0.6444  0.9246  0.1530  4 Pr 3.38-3.70, 3 Ho 3.48-3.56, 1 Tb 3.59
Pr  0.6880  0.4085  0.5139  4 Pr 3.39-3.70, 3 Ho 3.48-3.58, 1 Tb 3.57
Pr  0.7410  0.0208  0.6806  4 Pr 3.39-3.70, 2 Tb 3.49-3.56, 2 Ho 3.56-3.57
Pr  0.9246  0.6444  0.6530  4 Pr 3.38-3.70, 3 Ho 3.48-3.56, 1 Tb 3.59
Pr  0.9792  0.2590  0.8194  4 Pr 3.39-3.70, 2 Tb 3.49-3.56, 2 Ho 3.56-3.57
Ho  0.2327  0.4345  0.9163  8 Pr 3.48-3.58
Ho  0.4345  0.2327  0.4163  8 Pr 3.48-3.58
Ho  0.5655  0.7673  0.5837  8 Pr 3.48-3.58
Ho  0.7673  0.5655  0.0837  8 Pr 3.48-3.58

Stability check: which of them is most stable? entry two.

Entry one
This record from the Alexandria database describes an optimized crystal structure of Tb4Pr5Ho. The functional is PBE-GGA.

Lattice parameters (Å, degrees): 9.3756 9.3756 10.5814 95.91 95.91 22.29
With the nearest neighbours (Å) after each atom.
Fractional coordinates of all 10 atoms:
Tb  0.0457  0.0457  0.2638  2 Ho 3.27, 4 Pr 3.32-3.45, 4 Tb 3.36-3.62
Tb  0.3178  0.3178  0.5859  6 Tb 3.36-3.62, 1 Ho 3.56, 1 Pr 3.72
Tb  0.6822  0.6822  0.4141  6 Tb 3.36-3.62, 1 Ho 3.56, 1 Pr 3.72
Tb  0.9543  0.9543  0.7362  2 Ho 3.27, 4 Pr 3.32-3.45, 4 Tb 3.36-3.62
Pr  0.1412  0.1412  0.7286  2 Tb 3.45-3.72, 2 Pr 3.62, 2 Ho 3.82
Pr  0.1903  0.1903  0.1003  1 Tb 3.32, 4 Pr 3.62-3.69
Pr  0.5000  0.5000  0.0000  4 Tb 3.36, 2 Pr 3.62
Pr  0.8097  0.8097  0.8997  1 Tb 3.32, 4 Pr 3.62-3.69
Pr  0.8588  0.8588  0.2714  2 Tb 3.45-3.72, 2 Pr 3.62, 2 Ho 3.82
Ho  0.5000  0.5000  0.5000  6 Tb 3.27-3.56, 2 Ho 3.62

Entry two
This record from the Alexandria database describes an optimized crystal structure of Tb4Pr5Ho. The functional is PBE-GGA.

Lattice parameters (Å, degrees): 9.6000 9.6000 10.2907 105.67 105.67 21.83
With the nearest neighbours (Å) after each atom.
Fractional coordinates of all 10 atoms:
Tb  0.1003  0.1003  0.2949  4 Tb 3.59-3.64, 2 Ho 3.60, 6 Pr 3.61-3.68
Tb  0.3007  0.3007  0.9003  6 Tb 3.59-3.65, 5 Pr 3.59-3.65, 1 Ho 3.61
Tb  0.6993  0.6993  0.0997  6 Tb 3.59-3.65, 5 Pr 3.59-3.65, 1 Ho 3.61
Tb  0.8997  0.8997  0.7051  4 Tb 3.59-3.64, 2 Ho 3.60, 6 Pr 3.61-3.68
Pr  0.0994  0.0994  0.8053  4 Tb 3.59-3.65, 2 Ho 3.59, 6 Pr 3.64-3.68
Pr  0.2997  0.2997  0.3995  5 Tb 3.61-3.67, 7 Pr 3.63-3.68
Pr  0.5000  0.5000  0.5000  8 Pr 3.63-3.67, 4 Tb 3.68
Pr  0.7003  0.7003  0.6005  5 Tb 3.61-3.67, 7 Pr 3.63-3.68
Pr  0.9006  0.9006  0.1947  4 Tb 3.59-3.65, 2 Ho 3.59, 6 Pr 3.64-3.68
Ho  0.5000  0.5000  0.0000  4 Pr 3.59, 6 Tb 3.60-3.61, 2 Ho 3.64

Stability check: which of them is most stable? entry two.